[1]
# LuCdGaPt

A geometry-optimized LuCdGaPt structure (PBE-GGA, Alexandria).

a b c (Å): 4.779 4.779 4.779
angles (deg): 60.00 60.00 60.00
Element x y z (fractional)
Ga (0.000, 0.000, 0.000)
Cd (0.750, 0.750, 0.750)
Pt (0.500, 0.500, 0.500)
Lu (0.250, 0.250, 0.250)

As for the space group: No. 216. The crystal system is cubic. For the calculated total energy, the calculation gives -0.156 Ha/atom.

[2]
# Re3Pb

A geometry-optimized Re3Pb structure (PBE-GGA, Alexandria).

a b c (Å): 5.143 5.143 5.143
angles (deg): 90.00 90.00 90.00
Element x y z (fractional)
Re (0.750, 0.500, 0.000)
Re (0.500, 0.000, 0.250)
Re (0.500, 0.000, 0.750)
Re (0.000, 0.750, 0.500)
Re (0.000, 0.250, 0.500)
Re (0.250, 0.500, 0.000)
Pb (0.000, 0.000, 0.000)
Pb (0.500, 0.500, 0.500)

The polymorph energy (0 for the lowest one) is 522 meV/atom. As for the space group: No. 223. The crystal system is cubic.

[3]
# ReHgAs2

A geometry-optimized ReHgAs2 structure (PBE-GGA, Alexandria).

a b c (Å): 9.606 9.606 9.606
angles (deg): 18.29 18.29 18.29
Element x y z (fractional)
As (0.010, 0.010, 0.010)
As (0.261, 0.261, 0.261)
Hg (0.491, 0.491, 0.491)
Re (0.738, 0.738, 0.738)

As for the space group: No. 160. The crystal system is trigonal. For the calculated total energy, the calculation gives -0.186 Ha/atom.